CdHgP2: optimized geometry, PBE.

Lattice parameters (Å, degrees): 4.8211 4.8211 4.8211 60.00 60.00 60.00
With the nearest neighbours (Å) after each atom.
Fractional coordinates of all 4 atoms:
Cd (0.0000, 0.0000, 0.0000)  8 P 2.95
Hg (0.5000, 0.5000, 0.5000)  8 P 2.95
P (0.2500, 0.2500, 0.2500)  4 Cd 2.95, 4 Hg 2.95
P (0.7500, 0.7500, 0.7500)  4 Hg 2.95, 4 Cd 2.95

- M_tot: 0.00 Bohr magnetons per cell
- Energy above the lowest structure with this stoichiometry: 607 meV/atom



Hf3V5Pt12: optimized geometry, PBE.

Lattice parameters (Å, degrees): 12.8158 12.8158 12.8158 109.47 109.47 109.47
With the nearest neighbours (Å) after each atom.
Fractional coordinates of all 80 atoms:
Hf (0.1250, 0.2500, 0.3750)  8 Pt 2.69-2.77
Hf (0.1250, 0.3750, 0.7500)  8 Pt 2.69-2.77
Hf (0.2500, 0.3750, 0.1250)  8 Pt 2.69-2.77
Hf (0.2500, 0.8750, 0.6250)  8 Pt 2.69-2.77
Hf (0.3750, 0.1250, 0.2500)  8 Pt 2.69-2.77
Hf (0.3750, 0.7500, 0.1250)  8 Pt 2.69-2.77
Hf (0.6250, 0.2500, 0.8750)  8 Pt 2.69-2.77
Hf (0.6250, 0.8750, 0.7500)  8 Pt 2.69-2.77
Hf (0.7500, 0.1250, 0.3750)  8 Pt 2.69-2.77
Hf (0.7500, 0.6250, 0.8750)  8 Pt 2.69-2.77
Hf (0.8750, 0.6250, 0.2500)  8 Pt 2.69-2.77
Hf (0.8750, 0.7500, 0.6250)  8 Pt 2.69-2.77
V (0.0000, 0.0000, 0.0000)  6 Pt 2.48
V (0.0000, 0.0000, 0.5000)  6 Pt 2.48
V (0.0000, 0.5000, 0.0000)  6 Pt 2.48
V (0.0000, 0.5000, 0.5000)  6 Pt 2.48
V (0.1250, 0.7500, 0.8750)  4 Pt 2.41
V (0.1250, 0.8750, 0.2500)  4 Pt 2.41
V (0.2500, 0.1250, 0.8750)  4 Pt 2.41
V (0.2500, 0.6250, 0.3750)  4 Pt 2.41
V (0.3750, 0.2500, 0.6250)  4 Pt 2.41
V (0.3750, 0.6250, 0.7500)  4 Pt 2.41
V (0.5000, 0.0000, 0.0000)  6 Pt 2.48
V (0.5000, 0.0000, 0.5000)  6 Pt 2.48
V (0.5000, 0.5000, 0.0000)  6 Pt 2.48
V (0.5000, 0.5000, 0.5000)  6 Pt 2.48
V (0.6250, 0.3750, 0.2500)  4 Pt 2.41
V (0.6250, 0.7500, 0.3750)  4 Pt 2.41
V (0.7500, 0.3750, 0.6250)  4 Pt 2.41
V (0.7500, 0.8750, 0.1250)  4 Pt 2.41
V (0.8750, 0.1250, 0.7500)  4 Pt 2.41
V (0.8750, 0.2500, 0.1250)  4 Pt 2.41
Pt (0.0539, 0.2218, 0.1341)  2 V 2.41-2.48, 1 Hf 2.69
Pt (0.0539, 0.3321, 0.9198)  2 V 2.41-2.48, 1 Hf 2.69
Pt (0.0802, 0.6341, 0.4123)  2 V 2.41-2.48, 1 Hf 2.69
Pt (0.0802, 0.9461, 0.6679)  2 V 2.41-2.48, 1 Hf 2.69
Pt (0.0877, 0.7218, 0.6679)  2 V 2.41-2.48, 1 Hf 2.69
Pt (0.0877, 0.8659, 0.4198)  2 V 2.41-2.48, 1 Hf 2.69
Pt (0.1341, 0.0539, 0.2218)  2 V 2.41-2.48, 1 Hf 2.69
Pt (0.1341, 0.5802, 0.9123)  2 V 2.41-2.48, 1 Hf 2.69
Pt (0.1679, 0.2218, 0.5877)  2 V 2.41-2.48, 1 Hf 2.69
Pt (0.1679, 0.4461, 0.5802)  2 V 2.41-2.48, 1 Hf 2.69
Pt (0.2218, 0.1341, 0.0539)  2 V 2.41-2.48, 1 Hf 2.69
Pt (0.2218, 0.5877, 0.1679)  2 V 2.41-2.48, 1 Hf 2.69
Pt (0.2782, 0.3321, 0.9123)  2 V 2.41-2.48, 1 Hf 2.69
Pt (0.2782, 0.4461, 0.3659)  2 V 2.41-2.48, 1 Hf 2.69
Pt (0.3321, 0.9123, 0.2782)  2 V 2.41-2.48, 1 Hf 2.69
Pt (0.3321, 0.9198, 0.0539)  2 V 2.41-2.48, 1 Hf 2.69
Pt (0.3659, 0.2782, 0.4461)  2 V 2.41-2.48, 1 Hf 2.69
Pt (0.3659, 0.5877, 0.9198)  2 V 2.41-2.48, 1 Hf 2.69
Pt (0.4123, 0.0802, 0.6341)  2 V 2.41-2.48, 1 Hf 2.69
Pt (0.4123, 0.8321, 0.7782)  2 V 2.41-2.48, 1 Hf 2.69
Pt (0.4198, 0.0877, 0.8659)  2 V 2.41-2.48, 1 Hf 2.69
Pt (0.4198, 0.8321, 0.5539)  2 V 2.41-2.48, 1 Hf 2.69
Pt (0.4461, 0.3659, 0.2782)  2 V 2.41-2.48, 1 Hf 2.69
Pt (0.4461, 0.5802, 0.1679)  2 V 2.41-2.48, 1 Hf 2.69
Pt (0.5539, 0.4198, 0.8321)  2 V 2.41-2.48, 1 Hf 2.69
Pt (0.5539, 0.6341, 0.7218)  2 V 2.41-2.48, 1 Hf 2.69
Pt (0.5802, 0.1679, 0.4461)  2 V 2.41-2.48, 1 Hf 2.69
Pt (0.5802, 0.9123, 0.1341)  2 V 2.41-2.48, 1 Hf 2.69
Pt (0.5877, 0.1679, 0.2218)  2 V 2.41-2.48, 1 Hf 2.69
Pt (0.5877, 0.9198, 0.3659)  2 V 2.41-2.48, 1 Hf 2.69
Pt (0.6341, 0.4123, 0.0802)  2 V 2.41-2.48, 1 Hf 2.69
Pt (0.6341, 0.7218, 0.5539)  2 V 2.41-2.48, 1 Hf 2.69
Pt (0.6679, 0.0802, 0.9461)  2 V 2.41-2.48, 1 Hf 2.69
Pt (0.6679, 0.0877, 0.7218)  2 V 2.41-2.48, 1 Hf 2.69
Pt (0.7218, 0.5539, 0.6341)  2 V 2.41-2.48, 1 Hf 2.69
Pt (0.7218, 0.6679, 0.0877)  2 V 2.41-2.48, 1 Hf 2.69
Pt (0.7782, 0.4123, 0.8321)  2 V 2.41-2.48, 1 Hf 2.69
Pt (0.7782, 0.8659, 0.9461)  2 V 2.41-2.48, 1 Hf 2.69
Pt (0.8321, 0.5539, 0.4198)  2 V 2.41-2.48, 1 Hf 2.69
Pt (0.8321, 0.7782, 0.4123)  2 V 2.41-2.48, 1 Hf 2.69
Pt (0.8659, 0.4198, 0.0877)  2 V 2.41-2.48, 1 Hf 2.69
Pt (0.8659, 0.9461, 0.7782)  2 V 2.41-2.48, 1 Hf 2.69
Pt (0.9123, 0.1341, 0.5802)  2 V 2.41-2.48, 1 Hf 2.69
Pt (0.9123, 0.2782, 0.3321)  2 V 2.41-2.48, 1 Hf 2.69
Pt (0.9198, 0.0539, 0.3321)  2 V 2.41-2.48, 1 Hf 2.69
Pt (0.9198, 0.3659, 0.5877)  2 V 2.41-2.48, 1 Hf 2.69
Pt (0.9461, 0.6679, 0.0802)  2 V 2.41-2.48, 1 Hf 2.69
Pt (0.9461, 0.7782, 0.8659)  2 V 2.41-2.48, 1 Hf 2.69

- M_tot: 16.20 Bohr magnetons per cell



Mg3BeIn: optimized geometry, PBE.

Lattice parameters (Å, degrees): 4.8312 4.8312 4.8312 90.00 90.00 90.00
With the nearest neighbours (Å) after each atom.
Fractional coordinates of all 5 atoms:
Mg (0.0000, 0.0000, 0.5000)  2 Be 2.42
Mg (0.0000, 0.5000, 0.0000)  2 Be 2.42
Mg (0.5000, 0.0000, 0.0000)  2 Be 2.42
Be (0.0000, 0.0000, 0.0000)  6 Mg 2.42
In (0.5000, 0.5000, 0.5000)  12 Mg 3.42

- M_tot: 0.00 Bohr magnetons per cell
- Energy above the lowest structure with this stoichiometry: 0 meV/atom



Pm3YBi4: optimized geometry, PBE.

Lattice parameters (Å, degrees): 6.4405 6.4405 6.4405 90.00 90.00 90.00
With the nearest neighbours (Å) after each atom.
Fractional coordinates of all 8 atoms:
Pm (0.0000, 0.0000, 0.5000)  6 Bi 3.22
Pm (0.0000, 0.5000, 0.0000)  6 Bi 3.22
Pm (0.5000, 0.0000, 0.0000)  6 Bi 3.22
Y (0.5000, 0.5000, 0.5000)  6 Bi 3.22
Bi (0.0000, 0.0000, 0.0000)  6 Pm 3.22
Bi (0.0000, 0.5000, 0.5000)  4 Pm 3.22, 2 Y 3.22
Bi (0.5000, 0.0000, 0.5000)  4 Pm 3.22, 2 Y 3.22
Bi (0.5000, 0.5000, 0.0000)  4 Pm 3.22, 2 Y 3.22

- M_tot: 0.00 Bohr magnetons per cell
- Energy above the lowest structure with this stoichiometry: 0 meV/atom



Pm4Tl5Ag2: optimized geometry, PBE.

Lattice parameters (Å, degrees): 8.3436 3.7281 9.8917 90.00 90.80 90.00
With the nearest neighbours (Å) after each atom.
Fractional coordinates of all 11 atoms:
Pm (0.2119, 0.0000, 0.3592)  2 Ag 3.16, 8 Tl 3.33-3.41
Pm (0.2414, 0.0000, 0.8975)  4 Ag 3.23-3.26, 6 Tl 3.30-3.55
Pm (0.7586, 0.0000, 0.1025)  4 Ag 3.23-3.26, 6 Tl 3.30-3.55
Pm (0.7881, 0.0000, 0.6408)  2 Ag 3.16, 8 Tl 3.33-3.41
Tl (0.1301, 0.5000, 0.6296)  1 Ag 3.01, 2 Tl 3.34-3.36, 4 Pm 3.34-3.36
Tl (0.4397, 0.5000, 0.1552)  1 Ag 3.02, 1 Tl 3.24, 4 Pm 3.30-3.36
Tl (0.5000, 0.5000, 0.5000)  4 Pm 3.33, 6 Tl 3.36-3.73
Tl (0.5603, 0.5000, 0.8448)  1 Ag 3.02, 1 Tl 3.24, 4 Pm 3.30-3.36
Tl (0.8699, 0.5000, 0.3704)  1 Ag 3.01, 2 Tl 3.34-3.36, 4 Pm 3.34-3.36
Ag (0.0790, 0.5000, 0.1247)  1 Ag 2.78, 2 Tl 3.01-3.02
Ag (0.9210, 0.5000, 0.8753)  1 Ag 2.78, 2 Tl 3.01-3.02

- M_tot: 0.00 Bohr magnetons per cell



Nd2SnBi4: optimized geometry, PBE.

Lattice parameters (Å, degrees): 4.5679 4.5679 11.2630 90.00 90.00 90.00
With the nearest neighbours (Å) after each atom.
Fractional coordinates of all 7 atoms:
Nd (0.0000, 0.5000, 0.2264)  8 Bi 3.35-3.42
Nd (0.5000, 0.0000, 0.7736)  8 Bi 3.35-3.42
Sn (0.0000, 0.0000, 0.5000)  4 Bi 3.17
Bi (0.0000, 0.0000, 0.0000)  4 Bi 3.23, 4 Nd 3.42
Bi (0.0000, 0.5000, 0.6953)  2 Sn 3.17, 4 Nd 3.35
Bi (0.5000, 0.0000, 0.3047)  2 Sn 3.17, 4 Nd 3.35
Bi (0.5000, 0.5000, 0.0000)  4 Bi 3.23, 4 Nd 3.42

- M_tot: 0.00 Bohr magnetons per cell
- Energy above the lowest structure with this stoichiometry: 0 meV/atom



SrLaAl: optimized geometry, PBE.

Lattice parameters (Å, degrees): 4.5938 4.3304 11.5890 90.00 101.33 90.00
With the nearest neighbours (Å) after each atom.
Fractional coordinates of all 6 atoms:
Sr (0.1874, 0.2500, 0.3747)  1 Al 3.48
Sr (0.8126, 0.7500, 0.6253)  1 Al 3.48
La (0.4286, 0.2500, 0.8566)  6 Al 3.27-3.32
La (0.5714, 0.7500, 0.1434)  6 Al 3.27-3.32
Al (0.0336, 0.2500, 0.0680)  2 Al 2.66
Al (0.9664, 0.7500, 0.9320)  2 Al 2.66

- M_tot: 0.00 Bohr magnetons per cell
- Energy above the lowest structure with this stoichiometry: 0 meV/atom



SmLu2V: optimized geometry, PBE.

Lattice parameters (Å, degrees): 3.5342 3.5342 8.5895 90.00 90.00 90.00
With the nearest neighbours (Å) after each atom.
Fractional coordinates of all 4 atoms:
Sm (0.0000, 0.0000, 0.0000)  4 Sm 3.53, 8 Lu 3.61
Lu (0.5000, 0.5000, 0.3040)  4 V 3.01, 1 Lu 3.37
Lu (0.5000, 0.5000, 0.6960)  4 V 3.01, 1 Lu 3.37
V (0.0000, 0.0000, 0.5000)  8 Lu 3.01

- M_tot: 3.25 Bohr magnetons per cell



| no. | E_tot (eV for the cell shown) | calculated volume (Å³ per atom) |
| --- | --- | --- |
| 1 | -9.4 | 19.81 |
| 2 | -603.7 | 20.25 |
| 3 | -10.1 | 22.55 |
| 4 | -43.7 | 33.39 |
| 5 | -39.7 | 27.97 |
| 6 | -32.5 | 33.57 |
| 7 | -21.9 | 37.67 |
| 8 | -22.2 | 26.82 |